# 1
Computed, not measured: a relaxed BaNiOs3 crystal at the PBE level of DFT.

Lattice parameters (Å, degrees): 4.6522 4.6522 4.6522 90.00 90.00 90.00
Space group Pm-3m (No. 221)
Asymmetric unit:
Ba (0.0000, 0.0000, 0.0000)
Ni (0.5000, 0.5000, 0.5000)
Os (0.0000, 0.5000, 0.5000)

Values from the calculation:
The value obtained for the distance to the lowest polymorph of the same formula is 0 meV per atom. For the formation energy, the calculation gives 1.666 eV per atom.

# 2
Computed, not measured: a relaxed Ba2NiOs crystal at the PBE level of DFT.

Lattice parameters (Å, degrees): 8.1823 3.2924 8.5250 90.00 96.32 90.00
Space group C2/m (No. 12)
Asymmetric unit:
Ba (0.2481, 0.0000, 0.2532)
Ni (0.0000, 0.0000, 0.5000)
Os (0.0000, 0.5000, 0.0000)

Values from the calculation:
The value obtained for the distance to the lowest polymorph of the same formula is 706 meV per atom. For the formation energy, the calculation gives 1.030 eV per atom.

# 3
Computed, not measured: a relaxed BaNi2Os crystal at the PBE level of DFT.

Lattice parameters (Å, degrees): 3.0866 3.0866 7.5428 90.00 90.00 90.00
Space group P4mm (No. 99)
Asymmetric unit:
Ba (0.0000, 0.0000, 0.0000)
Ni (0.0000, 0.0000, 0.4857)
Ni (0.5000, 0.5000, 0.3214)
Os (0.5000, 0.5000, 0.6502)

Values from the calculation:
The value obtained for the distance to the lowest polymorph of the same formula is 504 meV per atom. For the formation energy, the calculation gives 0.656 eV per atom.

# 4
Computed, not measured: a relaxed BaNi2Os crystal at the PBE level of DFT.

Lattice parameters (Å, degrees): 2.9921 2.9921 27.6817 90.00 90.00 120.00
Space group R-3m (No. 166, hexagonal axes)
Asymmetric unit:
Ba (0.0000, 0.0000, 0.0000)
Ni (0.0000, 0.0000, 0.2333)
Os (0.0000, 0.0000, 0.5000)

Values from the calculation:
The value obtained for the distance to the lowest polymorph of the same formula is 847 meV per atom. For the formation energy, the calculation gives 0.999 eV per atom.

# 5
Computed, not measured: a relaxed BaNiOs2 crystal at the PBE level of DFT.

Lattice parameters (Å, degrees): 2.9432 4.6050 5.4732 90.00 90.00 90.00
Space group Pmmm (No. 47)
Asymmetric unit:
Ba (0.0000, 0.0000, 0.0000)
Ni (0.5000, 0.5000, 0.0000)
Os (0.0000, 0.5000, 0.5000)
Os (0.5000, 0.0000, 0.5000)

Values from the calculation:
The value obtained for the distance to the lowest polymorph of the same formula is 963 meV per atom. For the formation energy, the calculation gives 1.183 eV per atom.

# 6
Computed, not measured: a relaxed BaNi2Os crystal at the PBE level of DFT.

Lattice parameters (Å, degrees): 4.0745 4.0745 8.6346 90.00 90.00 90.00
Space group I-4m2 (No. 119)
Asymmetric unit:
Ba (0.0000, 0.0000, 0.0000)
Ni (0.0000, 0.0000, 0.5000)
Ni (0.0000, 0.5000, 0.7500)
Os (0.0000, 0.5000, 0.2500)

Values from the calculation:
The value obtained for the distance to the lowest polymorph of the same formula is 992 meV per atom. For the formation energy, the calculation gives 1.144 eV per atom.

# 7
Computed, not measured: a relaxed BaNiOs2 crystal at the PBE level of DFT.

Lattice parameters (Å, degrees): 3.0445 3.0445 8.0695 90.00 90.00 90.00
Space group P4/mmm (No. 123)
Asymmetric unit:
Ba (0.0000, 0.0000, 0.0000)
Ni (0.0000, 0.0000, 0.5000)
Os (0.5000, 0.5000, 0.3378)

Values from the calculation:
The value obtained for the distance to the lowest polymorph of the same formula is 664 meV per atom. For the formation energy, the calculation gives 0.883 eV per atom.

# 8
Computed, not measured: a relaxed BaNiOs2 crystal at the PBE level of DFT.

Lattice parameters (Å, degrees): 2.9096 4.0942 6.9499 90.00 101.99 90.00
Space group Pm (No. 6)
Asymmetric unit:
Ba (0.0000, 0.0000, 0.0000)
Ni (0.6544, 0.5000, 0.3079)
Os (0.3104, 0.5000, 0.6226)
Os (0.7517, 0.0000, 0.5049)

Values from the calculation:
The value obtained for the distance to the lowest polymorph of the same formula is 428 meV per atom. For the formation energy, the calculation gives 0.647 eV per atom.